# PaAl2CrO8 (PBE with a Hubbard U, relaxed)
data_PaAl2CrO8
_chemical_formula_sum 'Pa2 Al4 Cr2 O16'
_cell_length_a 6.423
_cell_length_b 6.543
_cell_length_c 6.230
_cell_angle_alpha 90.00
_cell_angle_beta 90.00
_cell_angle_gamma 90.00
_space_group_name_H-M_alt 'C m m m'
_space_group_IT_number 65
_space_group_name_Hall '-C 2 2'
loop_
_atom_site_label
_atom_site_type_symbol
_atom_site_fract_x
_atom_site_fract_y
_atom_site_fract_z
Pa1 Pa 0.000 0.000 0.000
Al1 Al 0.000 0.500 0.263
Cr1 Cr 0.000 0.000 0.500
O1 O 0.000 0.299 0.500
O2 O 0.000 0.322 0.000
O3 O 0.207 0.000 0.278
# - Fermi-level density of states: 4.33 states/eV/cell
# - Total DFT energy (no corrections): -7.88 eV per atom